Entry i
Compound: BaHgAsBr2
Source: the Alexandria database
Functional: PBE
Structure: optimized geometry

Structure (CIF):
```
data_BaHgAsBr2
_cell_length_a 5.798
_cell_length_b 5.798
_cell_length_c 5.212
_cell_angle_alpha 90.00
_cell_angle_beta 90.00
_cell_angle_gamma 90.00
_space_group_name_H-M_alt 'P 1'
_space_group_IT_number 1
_space_group_name_Hall 'P 1'
loop_
_atom_site_label
_atom_site_type_symbol
_atom_site_fract_x
_atom_site_fract_y
_atom_site_fract_z
_atom_site_occupancy
Ba1 Ba 0.000 0.000 0.000 1
Hg1 Hg 0.500 0.500 0.500 1
As1 As 0.500 0.500 0.000 1
Br1 Br 0.000 0.500 0.500 1
Br2 Br 0.500 0.000 0.500 1
```

SG = P4/mmm
Crystal system = tetragonal

=====

Entry ii
Compound: BaHgAsBr2
Source: the Alexandria database
Functional: PBE
Structure: optimized geometry

Structure (CIF):
```
data_BaHgAsBr2
_cell_length_a 6.241
_cell_length_b 6.241
_cell_length_c 7.657
_cell_angle_alpha 90.00
_cell_angle_beta 90.00
_cell_angle_gamma 90.00
_space_group_name_H-M_alt 'P 1'
_space_group_IT_number 1
_space_group_name_Hall 'P 1'
loop_
_atom_site_label
_atom_site_type_symbol
_atom_site_fract_x
_atom_site_fract_y
_atom_site_fract_z
_atom_site_occupancy
Ba1 Ba 0.000 0.000 0.000 1
Hg1 Hg 0.500 0.500 0.500 1
As1 As 0.000 0.000 0.500 1
Br1 Br 0.000 0.500 0.000 1
Br2 Br 0.500 0.000 0.000 1
```

SG = P4/mmm
Crystal system = tetragonal

=====

Relative energies, kJ/mol of atoms: entry i 0.0; entry ii 10.2.

=====

Entry i
Compound: KBaAsBr2
Source: the Alexandria database
Functional: PBE
Structure: optimized geometry

Structure (CIF):
```
data_KBaAsBr2
_cell_length_a 5.830
_cell_length_b 5.830
_cell_length_c 6.021
_cell_angle_alpha 90.00
_cell_angle_beta 90.00
_cell_angle_gamma 90.00
_space_group_name_H-M_alt 'P 1'
_space_group_IT_number 1
_space_group_name_Hall 'P 1'
loop_
_atom_site_label
_atom_site_type_symbol
_atom_site_fract_x
_atom_site_fract_y
_atom_site_fract_z
_atom_site_occupancy
K1 K 0.000 0.000 0.000 1
Ba1 Ba 0.500 0.500 0.500 1
As1 As 0.000 0.000 0.500 1
Br1 Br 0.000 0.500 0.000 1
Br2 Br 0.500 0.000 0.000 1
```

SG = P4/mmm
Crystal system = tetragonal

=====

Entry ii
Compound: KBaAsBr2
Source: the Alexandria database
Functional: PBE
Structure: optimized geometry

Structure (CIF):
```
data_KBaAsBr2
_cell_length_a 6.331
_cell_length_b 6.331
_cell_length_c 6.562
_cell_angle_alpha 90.00
_cell_angle_beta 90.00
_cell_angle_gamma 90.00
_space_group_name_H-M_alt 'P 1'
_space_group_IT_number 1
_space_group_name_Hall 'P 1'
loop_
_atom_site_label
_atom_site_type_symbol
_atom_site_fract_x
_atom_site_fract_y
_atom_site_fract_z
_atom_site_occupancy
K1 K 0.000 0.000 0.000 1
Ba1 Ba 0.500 0.500 0.500 1
As1 As 0.500 0.500 0.000 1
Br1 Br 0.000 0.500 0.500 1
Br2 Br 0.500 0.000 0.500 1
```

SG = P4/mmm
Crystal system = tetragonal

=====

Relative energies, kJ/mol of atoms: entry i 23.8; entry ii 0.0.

=====

Entry i
Compound: KBaAs2Br
Source: the Alexandria database
Functional: PBE
Structure: optimized geometry

Structure (CIF):
```
data_KBaAs2Br
_cell_length_a 6.467
_cell_length_b 6.467
_cell_length_c 6.286
_cell_angle_alpha 90.00
_cell_angle_beta 90.00
_cell_angle_gamma 90.00
_space_group_name_H-M_alt 'P 1'
_space_group_IT_number 1
_space_group_name_Hall 'P 1'
loop_
_atom_site_label
_atom_site_type_symbol
_atom_site_fract_x
_atom_site_fract_y
_atom_site_fract_z
_atom_site_occupancy
K1 K 0.000 0.000 0.000 1
Ba1 Ba 0.500 0.500 0.500 1
As1 As 0.000 0.500 0.500 1
As2 As 0.500 0.000 0.500 1
Br1 Br 0.500 0.500 0.000 1
```

SG = P4/mmm
Crystal system = tetragonal

=====

Entry ii
Compound: KBaAs2Br
Source: the Alexandria database
Functional: PBE
Structure: optimized geometry

Structure (CIF):
```
data_KBaAs2Br
_cell_length_a 5.588
_cell_length_b 5.588
_cell_length_c 5.895
_cell_angle_alpha 90.00
_cell_angle_beta 90.00
_cell_angle_gamma 90.00
_space_group_name_H-M_alt 'P 1'
_space_group_IT_number 1
_space_group_name_Hall 'P 1'
loop_
_atom_site_label
_atom_site_type_symbol
_atom_site_fract_x
_atom_site_fract_y
_atom_site_fract_z
_atom_site_occupancy
K1 K 0.000 0.000 0.000 1
Ba1 Ba 0.500 0.500 0.500 1
As1 As 0.000 0.500 0.000 1
As2 As 0.500 0.000 0.000 1
Br1 Br 0.000 0.000 0.500 1
```

SG = P4/mmm
Crystal system = tetragonal

=====

Relative energies, kJ/mol of atoms: entry i 0.0; entry ii 15.8.

=====

Entry i
Compound: BaLaAs2Br
Source: the Alexandria database
Functional: PBE
Structure: optimized geometry

Structure (CIF):
```
data_BaLaAs2Br
_cell_length_a 5.738
_cell_length_b 5.738
_cell_length_c 5.796
_cell_angle_alpha 90.00
_cell_angle_beta 90.00
_cell_angle_gamma 90.00
_space_group_name_H-M_alt 'P 1'
_space_group_IT_number 1
_space_group_name_Hall 'P 1'
loop_
_atom_site_label
_atom_site_type_symbol
_atom_site_fract_x
_atom_site_fract_y
_atom_site_fract_z
_atom_site_occupancy
Ba1 Ba 0.000 0.000 0.000 1
La1 La 0.500 0.500 0.500 1
As1 As 0.000 0.500 0.000 1
As2 As 0.500 0.000 0.000 1
Br1 Br 0.000 0.000 0.500 1
```

SG = P4/mmm
Crystal system = tetragonal

=====

Entry ii
Compound: BaLaAs2Br
Source: the Alexandria database
Functional: PBE
Structure: optimized geometry

Structure (CIF):
```
data_BaLaAs2Br
_cell_length_a 5.666
_cell_length_b 5.666
_cell_length_c 5.840
_cell_angle_alpha 90.00
_cell_angle_beta 90.00
_cell_angle_gamma 90.00
_space_group_name_H-M_alt 'P 1'
_space_group_IT_number 1
_space_group_name_Hall 'P 1'
loop_
_atom_site_label
_atom_site_type_symbol
_atom_site_fract_x
_atom_site_fract_y
_atom_site_fract_z
_atom_site_occupancy
Ba1 Ba 0.000 0.000 0.000 1
La1 La 0.500 0.500 0.500 1
As1 As 0.000 0.500 0.500 1
As2 As 0.500 0.000 0.500 1
Br1 Br 0.500 0.500 0.000 1
```

SG = P4/mmm
Crystal system = tetragonal

=====

Relative energies, kJ/mol of atoms: entry i 73.1; entry ii 0.0.

=====

Entry i
Compound: BaLiAs2Br
Source: the Alexandria database
Functional: PBE
Structure: optimized geometry

Structure (CIF):
```
data_BaLiAs2Br
_cell_length_a 4.668
_cell_length_b 4.668
_cell_length_c 6.235
_cell_angle_alpha 90.00
_cell_angle_beta 90.00
_cell_angle_gamma 90.00
_space_group_name_H-M_alt 'P 1'
_space_group_IT_number 1
_space_group_name_Hall 'P 1'
loop_
_atom_site_label
_atom_site_type_symbol
_atom_site_fract_x
_atom_site_fract_y
_atom_site_fract_z
_atom_site_occupancy
Ba1 Ba 0.000 0.000 0.000 1
Li1 Li 0.500 0.500 0.500 1
As1 As 0.000 0.500 0.500 1
As2 As 0.500 0.000 0.500 1
Br1 Br 0.500 0.500 0.000 1
```

SG = P4/mmm
Crystal system = tetragonal

=====

Entry ii
Compound: BaLiAs2Br
Source: the Alexandria database
Functional: PBE
Structure: optimized geometry

Structure (CIF):
```
data_BaLiAs2Br
_cell_length_a 6.436
_cell_length_b 6.436
_cell_length_c 6.225
_cell_angle_alpha 90.00
_cell_angle_beta 90.00
_cell_angle_gamma 90.00
_space_group_name_H-M_alt 'P 1'
_space_group_IT_number 1
_space_group_name_Hall 'P 1'
loop_
_atom_site_label
_atom_site_type_symbol
_atom_site_fract_x
_atom_site_fract_y
_atom_site_fract_z
_atom_site_occupancy
Ba1 Ba 0.000 0.000 0.000 1
Li1 Li 0.500 0.500 0.500 1
As1 As 0.000 0.500 0.000 1
As2 As 0.500 0.000 0.000 1
Br1 Br 0.000 0.000 0.500 1
```

SG = P4/mmm
Crystal system = tetragonal

=====

Entry iii
Compound: BaLiAs2Br
Source: the Alexandria database
Functional: PBE
Structure: optimized geometry

Structure (CIF):
```
data_BaLiAs2Br
_cell_length_a 5.785
_cell_length_b 5.785
_cell_length_c 14.842
_cell_angle_alpha 90.00
_cell_angle_beta 90.00
_cell_angle_gamma 90.00
_space_group_name_H-M_alt 'P 1'
_space_group_IT_number 1
_space_group_name_Hall 'P 1'
loop_
_atom_site_label
_atom_site_type_symbol
_atom_site_fract_x
_atom_site_fract_y
_atom_site_fract_z
_atom_site_occupancy
Ba1 Ba 0.000 0.000 0.000 1
Li1 Li 0.000 0.000 0.500 1
As1 As 0.000 0.500 0.000 1
As2 As 0.500 0.000 0.000 1
Br1 Br 0.500 0.500 0.500 1
```

SG = P4/mmm
Crystal system = tetragonal

=====

Relative energies, kJ/mol of atoms: entry i 0.0; entry ii 73.2; entry iii 106.3.

=====

Entry i
Compound: BaLiAsBr2
Source: the Alexandria database
Functional: PBE
Structure: optimized geometry

Structure (CIF):
```
data_BaLiAsBr2
_cell_length_a 5.169
_cell_length_b 5.169
_cell_length_c 5.308
_cell_angle_alpha 90.00
_cell_angle_beta 90.00
_cell_angle_gamma 90.00
_space_group_name_H-M_alt 'P 1'
_space_group_IT_number 1
_space_group_name_Hall 'P 1'
loop_
_atom_site_label
_atom_site_type_symbol
_atom_site_fract_x
_atom_site_fract_y
_atom_site_fract_z
_atom_site_occupancy
Ba1 Ba 0.000 0.000 0.000 1
Li1 Li 0.500 0.500 0.500 1
As1 As 0.500 0.500 0.000 1
Br1 Br 0.000 0.500 0.500 1
Br2 Br 0.500 0.000 0.500 1
```

SG = P4/mmm
Crystal system = tetragonal

=====

Entry ii
Compound: BaLiAsBr2
Source: the Alexandria database
Functional: PBE
Structure: optimized geometry

Structure (CIF):
```
data_BaLiAsBr2
_cell_length_a 6.286
_cell_length_b 6.286
_cell_length_c 6.554
_cell_angle_alpha 90.00
_cell_angle_beta 90.00
_cell_angle_gamma 90.00
_space_group_name_H-M_alt 'P 1'
_space_group_IT_number 1
_space_group_name_Hall 'P 1'
loop_
_atom_site_label
_atom_site_type_symbol
_atom_site_fract_x
_atom_site_fract_y
_atom_site_fract_z
_atom_site_occupancy
Ba1 Ba 0.000 0.000 0.000 1
Li1 Li 0.500 0.500 0.500 1
As1 As 0.000 0.000 0.500 1
Br1 Br 0.000 0.500 0.000 1
Br2 Br 0.500 0.000 0.000 1
```

SG = P4/mmm
Crystal system = tetragonal

=====

Relative energies, kJ/mol of atoms: entry i 0.0; entry ii 37.5.

=====

Entry i
Compound: BaMnAsBr2
Source: the Alexandria database
Functional: PBE
Structure: optimized geometry

Structure (CIF):
```
data_BaMnAsBr2
_cell_length_a 6.289
_cell_length_b 6.289
_cell_length_c 6.550
_cell_angle_alpha 90.00
_cell_angle_beta 90.00
_cell_angle_gamma 90.00
_space_group_name_H-M_alt 'P 1'
_space_group_IT_number 1
_space_group_name_Hall 'P 1'
loop_
_atom_site_label
_atom_site_type_symbol
_atom_site_fract_x
_atom_site_fract_y
_atom_site_fract_z
_atom_site_occupancy
Ba1 Ba 0.000 0.000 0.000 1
Mn1 Mn 0.500 0.500 0.500 1
As1 As 0.000 0.000 0.500 1
Br1 Br 0.000 0.500 0.000 1
Br2 Br 0.500 0.000 0.000 1
```

SG = P4/mmm
Crystal system = tetragonal

=====

Entry ii
Compound: BaMnAsBr2
Source: the Alexandria database
Functional: PBE
Structure: optimized geometry

Structure (CIF):
```
data_BaMnAsBr2
_cell_length_a 5.316
_cell_length_b 5.316
_cell_length_c 5.007
_cell_angle_alpha 90.00
_cell_angle_beta 90.00
_cell_angle_gamma 90.00
_space_group_name_H-M_alt 'P 1'
_space_group_IT_number 1
_space_group_name_Hall 'P 1'
loop_
_atom_site_label
_atom_site_type_symbol
_atom_site_fract_x
_atom_site_fract_y
_atom_site_fract_z
_atom_site_occupancy
Ba1 Ba 0.000 0.000 0.000 1
Mn1 Mn 0.500 0.500 0.500 1
As1 As 0.500 0.500 0.000 1
Br1 Br 0.000 0.500 0.500 1
Br2 Br 0.500 0.000 0.500 1
```

SG = P4/mmm
Crystal system = tetragonal

=====

Relative energies, kJ/mol of atoms: entry i 86.7; entry ii 0.0.

=====

Entry i
Compound: BaNbAsBr2
Source: the Alexandria database
Functional: PBE
Structure: optimized geometry

Structure (CIF):
```
data_BaNbAsBr2
_cell_length_a 5.342
_cell_length_b 5.342
_cell_length_c 5.128
_cell_angle_alpha 90.00
_cell_angle_beta 90.00
_cell_angle_gamma 90.00
_space_group_name_H-M_alt 'P 1'
_space_group_IT_number 1
_space_group_name_Hall 'P 1'
loop_
_atom_site_label
_atom_site_type_symbol
_atom_site_fract_x
_atom_site_fract_y
_atom_site_fract_z
_atom_site_occupancy
Ba1 Ba 0.000 0.000 0.000 1
Nb1 Nb 0.500 0.500 0.500 1
As1 As 0.500 0.500 0.000 1
Br1 Br 0.000 0.500 0.500 1
Br2 Br 0.500 0.000 0.500 1
```

SG = P4/mmm
Crystal system = tetragonal

=====

Entry ii
Compound: BaNbAsBr2
Source: the Alexandria database
Functional: PBE
Structure: optimized geometry

Structure (CIF):
```
data_BaNbAsBr2
_cell_length_a 6.057
_cell_length_b 6.057
_cell_length_c 6.512
_cell_angle_alpha 90.00
_cell_angle_beta 90.00
_cell_angle_gamma 90.00
_space_group_name_H-M_alt 'P 1'
_space_group_IT_number 1
_space_group_name_Hall 'P 1'
loop_
_atom_site_label
_atom_site_type_symbol
_atom_site_fract_x
_atom_site_fract_y
_atom_site_fract_z
_atom_site_occupancy
Ba1 Ba 0.000 0.000 0.000 1
Nb1 Nb 0.500 0.500 0.500 1
As1 As 0.000 0.000 0.500 1
Br1 Br 0.000 0.500 0.000 1
Br2 Br 0.500 0.000 0.000 1
```

SG = P4/mmm
Crystal system = tetragonal

=====

Relative energies, kJ/mol of atoms: entry i 0.0; entry ii 124.6.